Record 1
Crystalline HfMg2ZnS at its relaxed geometry, computed with PBE-GGA.

Results
* raw formation energy: 0.3241 eV per atom
* space group: P4/mmm (123)

Cell lengths 4.741, 4.741, 5.088 Å; angles 90.00, 90.00, 90.00 degrees
Positions (direct):
Hf 0.000 0.000 0.000
Mg 0.000 0.500 0.500
Mg 0.500 0.000 0.500
Zn 0.000 0.000 0.500
S 0.500 0.500 0.000

=====

Record 2
Crystalline Cs2MgO2 at its relaxed geometry, computed with PBE-GGA.

Results
* raw formation energy: -1.6095 eV per atom
* space group: P2_1/c (14)

Cell lengths 10.128, 6.806, 16.671 Å; angles 90.00, 117.74, 90.00 degrees
Positions (direct):
Cs 0.074 0.124 0.334
Cs 0.074 0.376 0.834
Cs 0.152 0.661 0.472
Cs 0.152 0.839 0.972
Cs 0.321 0.589 0.739
Cs 0.321 0.911 0.239
Cs 0.422 0.079 0.876
Cs 0.422 0.421 0.376
Cs 0.578 0.579 0.624
Cs 0.578 0.921 0.124
Cs 0.679 0.089 0.761
Cs 0.679 0.411 0.261
Cs 0.848 0.161 0.028
Cs 0.848 0.339 0.528
Cs 0.926 0.624 0.166
Cs 0.926 0.876 0.666
Mg 0.246 0.131 0.622
Mg 0.246 0.369 0.122
Mg 0.414 0.051 0.539
Mg 0.414 0.449 0.039
Mg 0.586 0.551 0.961
Mg 0.586 0.949 0.461
Mg 0.754 0.631 0.878
Mg 0.754 0.869 0.378
O 0.144 0.195 0.690
O 0.144 0.305 0.190
O 0.269 0.232 0.026
O 0.269 0.268 0.526
O 0.372 0.614 0.930
O 0.372 0.886 0.430
O 0.382 0.586 0.138
O 0.382 0.914 0.638
O 0.618 0.086 0.362
O 0.618 0.414 0.862
O 0.628 0.114 0.570
O 0.628 0.386 0.070
O 0.731 0.732 0.474
O 0.731 0.768 0.974
O 0.856 0.695 0.810
O 0.856 0.805 0.310

=====

Record 3
Crystalline NpHS at its relaxed geometry, computed with PBE-GGA.

Results
* electronic total energy: -7.53 eV/atom
* space group: F-43m (216)

Cell lengths 4.302, 4.302, 4.302 Å; angles 60.00, 60.00, 60.00 degrees
Positions (direct):
Np 0.000 0.000 0.000
H 0.250 0.250 0.250
S 0.750 0.750 0.750

=====

Record 4
Crystalline Nd2YS3 at its relaxed geometry, computed with PBE-GGA.

Results
* raw formation energy: -2.0110 eV per atom
* space group: Immm (71)

Cell lengths 6.970, 6.970, 6.970 Å; angles 146.53, 131.83, 59.93 degrees
Positions (direct):
Nd 0.170 0.170 0.000
Nd 0.830 0.830 0.000
Y 0.500 0.500 0.000
S 0.000 0.500 0.500
S 0.342 0.842 0.500
S 0.658 0.158 0.500